This record from the Alexandria database describes an optimized crystal structure of Hf2HW2. The functional is PBE.

## Properties
raw total energy: -8.010 eV per atom
size of the total moment: 0.000 μB per atom

Unit cell a=4.0223 b=4.0223 c=12.8106 alpha=90.00 beta=90.00 gamma=90.00
Space group I4/mmm (No. 139)
Unique sites:
1 Hf 0.0000 0.5000 0.2500 [4 per cell]
2 H 0.0000 0.0000 0.0000 [2 per cell]
3 W 0.0000 0.0000 0.4039 [4 per cell]